No. 1
{"formula": "Th2TcGe4Pt3", "functional": "PBE", "state": "relaxed", "lattice": [[4.333, 0.000, 0.000], [0.000, 4.333, 0.000], [0.000, 0.000, 10.210]], "species": ["Th", "Th", "Tc", "Ge", "Ge", "Ge", "Ge", "Pt", "Pt", "Pt"], "frac_coords": [[0.500, 0.000, 0.256], [0.000, 0.500, 0.744], [0.500, 0.500, 0.500], [0.500, 0.500, 0.000], [0.000, 0.000, 0.000], [0.500, 0.000, 0.629], [0.000, 0.500, 0.371], [0.000, 0.000, 0.500], [0.500, 0.000, 0.873], [0.000, 0.500, 0.127]], "formation_energy_ev_per_fu": -8.50, "spacegroup": "No. 115", "total_magnetization_mub_per_fu": 0.00}

***

No. 2
{"formula": "ZnTcGePt", "functional": "PBE", "state": "relaxed", "lattice": [[-2.289, -3.112, -1.987], [-0.569, -3.848, 1.934], [-3.918, -1.114, 1.510]], "species": ["Zn", "Ge", "Tc", "Pt"], "frac_coords": [[0.750, 0.750, 0.750], [0.250, 0.250, 0.250], [0.500, 0.500, 0.500], [0.000, 0.000, 0.000]], "formation_energy_ev_per_fu": -0.74, "spacegroup": "No. 216", "total_magnetization_mub_per_fu": 0.00}

***

No. 3
{"formula": "Ge2TePt", "functional": "PBE", "state": "relaxed", "lattice": [[-1.983, -3.284, 0.591], [1.395, -3.374, -1.318], [2.976, -3.117, 5.413]], "species": ["Ge", "Ge", "Te", "Pt"], "frac_coords": [[0.766, 0.766, 0.702], [0.234, 0.234, 0.298], [0.000, 0.000, 0.000], [0.500, 0.500, 0.500]], "spacegroup": "No. 166", "e_form_raw_kj_per_mol_atoms": -12.4, "total_magnetization_mub_per_fu": 0.00}

***

No. 4
{"formula": "GeTe2Pt", "functional": "PBE", "state": "relaxed", "lattice": [[6.210, 0.000, 0.000], [0.000, 6.210, 0.000], [3.105, 3.105, 6.289]], "species": ["Ge", "Ge", "Te", "Te", "Te", "Te", "Pt", "Pt"], "frac_coords": [[0.500, 0.500, 0.000], [0.250, 0.750, 0.500], [0.649, 0.125, 0.250], [0.101, 0.625, 0.250], [0.375, 0.351, 0.750], [0.875, 0.899, 0.750], [0.000, 0.000, 0.000], [0.750, 0.250, 0.500]], "spacegroup": "No. 122", "e_form_raw_kj_per_mol_atoms": -0.4, "total_magnetization_mub_per_fu": 0.00}

***

No. 5
{"formula": "Ge2TePt2", "functional": "PBE", "state": "relaxed", "lattice": [[-6.546, -3.844, 0.895], [3.602, -5.108, 4.400], [-0.681, 1.767, 2.610]], "species": ["Ge", "Ge", "Ge", "Ge", "Te", "Te", "Pt", "Pt", "Pt", "Pt"], "frac_coords": [[0.145, 0.645, 0.500], [0.645, 0.855, 0.500], [0.855, 0.355, 0.500], [0.355, 0.145, 0.500], [0.000, 0.000, 0.000], [0.500, 0.500, 0.000], [0.364, 0.864, 0.000], [0.864, 0.636, 0.000], [0.636, 0.136, 0.000], [0.136, 0.364, 0.000]], "spacegroup": "No. 127", "de_polymorph_mev_per_atom": 40.3, "e_form_raw_kj_per_mol_atoms": -12.5, "total_magnetization_mub_per_fu": 0.00}

***

No. 6
{"formula": "Ge2TePt2", "functional": "PBE", "state": "relaxed", "lattice": [[4.076, 0.000, 0.000], [0.000, 4.076, 0.000], [2.038, 2.038, 5.917]], "species": ["Ge", "Ge", "Te", "Pt", "Pt"], "frac_coords": [[0.750, 0.250, 0.500], [0.250, 0.750, 0.500], [0.000, 0.000, 0.000], [0.382, 0.382, 0.237], [0.618, 0.618, 0.763]], "spacegroup": "No. 139", "de_polymorph_mev_per_atom": 0.0, "e_form_raw_kj_per_mol_atoms": -16.4, "total_magnetization_mub_per_fu": 0.00}

***

DFT total energy list, top to bottom, in eV/atom: -7.0295 -5.7601 -4.7327 -4.2391 -5.0210 -5.0613